# 1
The following is a DFT calculation (PBE) of a relaxed MnTlIn crystal.

## Properties
The value obtained for the distance to the lowest polymorph of the same formula is 0.091 eV per atom. Its symmetry is No. 156.

a = 4.745 Å, b = 4.745 Å, c = 3.624 Å
α = 90.00°, β = 90.00°, γ = 120.00°
Sites, in units of the cell vectors:
1 Mn 0.000 0.000 0.000
2 Tl 0.667 0.333 0.296
3 In 0.333 0.667 0.713

# 2
The following is a DFT calculation (PBE) of a relaxed Mn2TlIn2 crystal.

## Properties
The value obtained for the distance to the lowest polymorph of the same formula is 0.112 eV per atom. Its symmetry is No. 139.

a = 10.614 Å, b = 10.614 Å, c = 10.614 Å
α = 162.63°, β = 162.63°, γ = 24.66°
Sites, in units of the cell vectors:
1 Mn 0.250 0.750 0.500
2 Mn 0.750 0.250 0.500
3 Tl 0.000 0.000 0.000
4 In 0.363 0.363 0.000
5 In 0.637 0.637 0.000

# 3
The following is a DFT calculation (PBE) of a relaxed MnTl2In crystal.

## Properties
The value obtained for the distance to the lowest polymorph of the same formula is 0.190 eV per atom. Its symmetry is No. 216.

a = 5.276 Å, b = 5.276 Å, c = 5.276 Å
α = 60.00°, β = 60.00°, γ = 60.00°
Sites, in units of the cell vectors:
1 Mn 0.000 0.000 0.000
2 Tl 0.500 0.500 0.500
3 Tl 0.750 0.750 0.750
4 In 0.250 0.250 0.250

# 4
The following is a DFT calculation (PBE) of a relaxed MnTl2In crystal.

## Properties
The value obtained for the distance to the lowest polymorph of the same formula is 0.124 eV per atom. Its symmetry is No. 10.

a = 3.500 Å, b = 4.655 Å, c = 6.240 Å
α = 90.00°, β = 98.19°, γ = 90.00°
Sites, in units of the cell vectors:
1 Mn 0.000 0.000 0.000
2 Tl 0.388 0.500 0.234
3 Tl 0.612 0.500 0.766
4 In 0.000 0.000 0.500

# 5
The following is a DFT calculation (PBE) of a relaxed MnTlIn2 crystal.

## Properties
The value obtained for the distance to the lowest polymorph of the same formula is 0.075 eV per atom. Its symmetry is No. 99.

a = 3.234 Å, b = 3.234 Å, c = 9.107 Å
α = 90.00°, β = 90.00°, γ = 90.00°
Sites, in units of the cell vectors:
1 Mn 0.000 0.000 0.000
2 Tl 0.500 0.500 0.219
3 In 0.000 0.000 0.520
4 In 0.500 0.500 0.805

# 6
The following is a DFT calculation (PBE) of a relaxed MnTlIn2 crystal.

## Properties
The value obtained for the distance to the lowest polymorph of the same formula is 0.129 eV per atom. Its symmetry is No. 65.

a = 5.565 Å, b = 5.565 Å, c = 3.332 Å
α = 90.00°, β = 90.00°, γ = 111.83°
Sites, in units of the cell vectors:
1 Mn 0.000 0.000 0.000
2 Tl 0.500 0.500 0.000
3 In 0.000 0.500 0.500
4 In 0.500 0.000 0.500

# 7
The following is a DFT calculation (PBE) of a relaxed MnTl2In crystal.

## Properties
The value obtained for the distance to the lowest polymorph of the same formula is 0.050 eV per atom. Its symmetry is No. 160.

a = 10.179 Å, b = 10.179 Å, c = 10.179 Å
α = 19.11°, β = 19.11°, γ = 19.11°
Sites, in units of the cell vectors:
1 Mn 0.000 0.000 0.000
2 Tl 0.503 0.503 0.503
3 Tl 0.741 0.741 0.741
4 In 0.262 0.262 0.262

# 8
The following is a DFT calculation (PBE) of a relaxed MnTlIn2 crystal.

## Properties
The value obtained for the distance to the lowest polymorph of the same formula is 0.122 eV per atom. Its symmetry is No. 6.

a = 3.327 Å, b = 4.269 Å, c = 7.064 Å
α = 90.00°, β = 102.70°, γ = 90.00°
Sites, in units of the cell vectors:
1 Mn 0.000 0.000 0.000
2 Tl 0.177 0.500 0.305
3 In 0.442 0.500 0.871
4 In 0.804 0.000 0.577

# 9
The following is a DFT calculation (PBE) of a relaxed MnTl4In crystal.

## Properties
Its symmetry is No. 216.

a = 6.353 Å, b = 6.353 Å, c = 6.353 Å
α = 60.00°, β = 60.00°, γ = 60.00°
Sites, in units of the cell vectors:
1 Mn 0.000 0.000 0.000
2 Tl 0.124 0.625 0.625
3 Tl 0.625 0.124 0.625
4 Tl 0.625 0.625 0.124
5 Tl 0.625 0.625 0.625
6 In 0.250 0.250 0.250

# 10
The following is a DFT calculation (PBE) of a relaxed MnTlIn crystal.

## Properties
The value obtained for the distance to the lowest polymorph of the same formula is 0.053 eV per atom. Its symmetry is No. 156.

a = 3.280 Å, b = 3.280 Å, c = 7.341 Å
α = 90.00°, β = 90.00°, γ = 120.00°
Sites, in units of the cell vectors:
1 Mn 0.000 0.000 0.000
2 Tl 0.667 0.333 0.317
3 In 0.333 0.667 0.702

# 11
The following is a DFT calculation (PBE) of a relaxed MnTlIn2 crystal.

## Properties
The value obtained for the distance to the lowest polymorph of the same formula is 0.121 eV per atom. Its symmetry is No. 47.

a = 4.531 Å, b = 4.541 Å, c = 4.576 Å
α = 90.00°, β = 90.00°, γ = 90.00°
Sites, in units of the cell vectors:
1 Mn 0.000 0.000 0.000
2 Tl 0.500 0.500 0.000
3 In 0.000 0.500 0.500
4 In 0.500 0.000 0.500

# 12
The following is a DFT calculation (PBE) of a relaxed MnTlIn2 crystal.

## Properties
The value obtained for the distance to the lowest polymorph of the same formula is 0.063 eV per atom. Its symmetry is No. 166.

a = 10.080 Å, b = 10.080 Å, c = 10.080 Å
α = 19.01°, β = 19.01°, γ = 19.01°
Sites, in units of the cell vectors:
1 Mn 0.000 0.000 0.000
2 Tl 0.500 0.500 0.500
3 In 0.261 0.261 0.261
4 In 0.739 0.739 0.739

Number 1: formation energy 0.423 eV/atom, DOS at the Fermi energy 1.327 states/eV per cell. Number 2: formation energy 0.410 eV/atom, DOS at the Fermi energy 3.802 states/eV per cell. Number 3: formation energy 0.425 eV/atom, DOS at the Fermi energy 2.975 states/eV per cell. Number 4: formation energy 0.359 eV/atom, DOS at the Fermi energy 2.355 states/eV per cell. Number 5: formation energy 0.243 eV/atom, DOS at the Fermi energy 2.104 states/eV per cell. Number 6: formation energy 0.297 eV/atom, DOS at the Fermi energy 2.081 states/eV per cell. Number 7: formation energy 0.284 eV/atom, DOS at the Fermi energy 2.203 states/eV per cell. Number 8: formation energy 0.290 eV/atom, DOS at the Fermi energy 2.581 states/eV per cell. Number 9: formation energy 0.484 eV/atom, DOS at the Fermi energy 4.707 states/eV per cell. Number 10: formation energy 0.386 eV/atom, DOS at the Fermi energy 2.640 states/eV per cell. Number 11: formation energy 0.289 eV/atom, DOS at the Fermi energy 1.934 states/eV per cell. Number 12: formation energy 0.231 eV/atom, DOS at the Fermi energy 2.246 states/eV per cell.